[1]
Compound: TaBe3Os
Source: Alexandria
Functional: PBE
Structure: relaxed

Calculated values
* magnetic moment: 1.7 μB/cell
* symmetry: Pm-3m (221)
* offset from the most stable computed form: 1.431 eV per atom
* crystal system: cubic
* ΔE_f: 2.066 eV/atom
* Fermi-level density of states: 1.297 states/eV per atom

abc: 4.207 4.207 4.207
angles: 90.00 90.00 90.00
Sites, in units of the cell vectors:
Ta 0.000 0.000 0.000
Be 0.000 0.000 0.500
Be 0.000 0.500 0.000
Be 0.500 0.000 0.000
Os 0.500 0.500 0.500

=====

[2]
Compound: TaBe2Os2
Source: Alexandria
Functional: PBE
Structure: relaxed

Calculated values
* magnetic moment: 0.0 μB/cell
* symmetry: I4/mmm (139)
* offset from the most stable computed form: 0.630 eV per atom
* crystal system: tetragonal
* ΔE_f: 0.312 eV/atom
* Fermi-level density of states: 0.978 states/eV per atom

abc: 5.128 5.128 5.128
angles: 134.48 134.48 66.33
Sites, in units of the cell vectors:
Ta 0.000 0.000 0.000
Be 0.250 0.750 0.500
Be 0.750 0.250 0.500
Os 0.361 0.361 0.000
Os 0.639 0.639 0.000

=====

[3]
Compound: TaBe3Os
Source: Alexandria
Functional: PBE
Structure: relaxed

Calculated values
* magnetic moment: 0.0 μB/cell
* symmetry: Pm-3m (221)
* offset from the most stable computed form: 0.000 eV per atom
* crystal system: cubic
* ΔE_f: 0.635 eV/atom
* Fermi-level density of states: 0.375 states/eV per atom

abc: 4.069 4.069 4.069
angles: 90.00 90.00 90.00
Sites, in units of the cell vectors:
Ta 0.000 0.000 0.000
Be 0.000 0.500 0.500
Be 0.500 0.000 0.500
Be 0.500 0.500 0.000
Os 0.500 0.500 0.500

=====

[4]
Compound: Ta2Be2Os
Source: Alexandria
Functional: PBE
Structure: relaxed

Calculated values
* magnetic moment: 0.5 μB/cell
* symmetry: I4/mmm (139)
* offset from the most stable computed form: 0.905 eV per atom
* crystal system: tetragonal
* ΔE_f: 0.448 eV/atom
* Fermi-level density of states: 0.570 states/eV per atom

abc: 5.767 5.767 5.767
angles: 142.61 142.61 53.92
Sites, in units of the cell vectors:
Ta 0.250 0.750 0.500
Ta 0.750 0.250 0.500
Be 0.090 0.090 0.000
Be 0.910 0.910 0.000
Os 0.500 0.500 0.000

=====

[5]
Compound: Ta4BeOs
Source: Alexandria
Functional: PBE
Structure: relaxed

Calculated values
* magnetic moment: 0.0 μB/cell
* symmetry: F-43m (216)
* crystal system: cubic
* ΔE_f: 0.645 eV/atom
* Fermi-level density of states: 1.069 states/eV per atom

abc: 5.294 5.294 5.294
angles: 60.00 60.00 60.00
Sites, in units of the cell vectors:
Ta 0.125 0.125 0.125
Ta 0.125 0.125 0.625
Ta 0.125 0.625 0.125
Ta 0.625 0.125 0.125
Be 0.750 0.750 0.750
Os 0.500 0.500 0.500

=====

[6]
Compound: TaBe4Os
Source: Alexandria
Functional: PBE
Structure: relaxed

Calculated values
* magnetic moment: 0.0 μB/cell
* symmetry: F-43m (216)
* crystal system: cubic
* ΔE_f: -0.439 eV/atom
* Fermi-level density of states: 0.209 states/eV per atom

abc: 4.453 4.453 4.453
angles: 60.00 60.00 60.00
Sites, in units of the cell vectors:
Ta 0.000 0.000 0.000
Be 0.374 0.374 0.374
Be 0.374 0.374 0.877
Be 0.374 0.877 0.374
Be 0.877 0.374 0.374
Os 0.750 0.750 0.750

=====

[7]
Compound: TaBeV2Os
Source: Alexandria
Functional: PBE
Structure: relaxed

Calculated values
* magnetic moment: 0.0 μB/cell
* symmetry: P4/mmm (123)
* crystal system: tetragonal
* ΔE_f: 1.931 eV/atom
* Fermi-level density of states: 1.363 states/eV per atom

abc: 4.547 4.547 4.764
angles: 90.00 90.00 90.00
Sites, in units of the cell vectors:
Ta 0.000 0.000 0.000
Be 0.500 0.500 0.500
V 0.000 0.500 0.000
V 0.500 0.000 0.000
Os 0.000 0.000 0.500

=====

[8]
Compound: Ta2Be2VOs5
Source: Alexandria
Functional: PBE
Structure: relaxed

Calculated values
* magnetic moment: 0.0 μB/cell
* symmetry: P4/mbm (127)
* crystal system: tetragonal
* ΔE_f: -0.373 eV/atom
* Fermi-level density of states: 0.412 states/eV per atom

abc: 9.345 9.345 3.103
angles: 90.00 90.00 90.00
Sites, in units of the cell vectors:
Ta 0.175 0.325 0.000
Ta 0.325 0.825 0.000
Ta 0.675 0.175 0.000
Ta 0.825 0.675 0.000
Be 0.123 0.623 0.000
Be 0.377 0.123 0.000
Be 0.623 0.877 0.000
Be 0.877 0.377 0.000
V 0.000 0.000 0.000
V 0.500 0.500 0.000
Os 0.000 0.500 0.500
Os 0.070 0.793 0.500
Os 0.207 0.070 0.500
Os 0.293 0.570 0.500
Os 0.430 0.293 0.500
Os 0.500 0.000 0.500
Os 0.570 0.707 0.500
Os 0.707 0.430 0.500
Os 0.793 0.930 0.500
Os 0.930 0.207 0.500

=====

[9]
Compound: Ta2Be2Os5W
Source: Alexandria
Functional: PBE
Structure: relaxed

Calculated values
* magnetic moment: 0.0 μB/cell
* symmetry: P4/mbm (127)
* crystal system: tetragonal
* ΔE_f: -0.289 eV/atom
* Fermi-level density of states: 0.290 states/eV per atom

abc: 9.450 9.450 3.126
angles: 90.00 90.00 90.00
Sites, in units of the cell vectors:
Ta 0.175 0.325 0.000
Ta 0.325 0.825 0.000
Ta 0.675 0.175 0.000
Ta 0.825 0.675 0.000
Be 0.121 0.621 0.000
Be 0.379 0.121 0.000
Be 0.621 0.879 0.000
Be 0.879 0.379 0.000
Os 0.000 0.500 0.500
Os 0.073 0.789 0.500
Os 0.211 0.073 0.500
Os 0.289 0.573 0.500
Os 0.427 0.289 0.500
Os 0.500 0.000 0.500
Os 0.573 0.711 0.500
Os 0.711 0.427 0.500
Os 0.789 0.927 0.500
Os 0.927 0.211 0.500
W 0.000 0.000 0.000
W 0.500 0.500 0.000

=====

[10]
Compound: Tb2BeOs
Source: Alexandria
Functional: PBE
Structure: relaxed

Calculated values
* magnetic moment: 0.0 μB/cell
* symmetry: R-3m (166)
* crystal system: trigonal
* ΔE_f: 0.795 eV/atom
* Fermi-level density of states: 1.045 states/eV per atom

abc: 10.282 10.282 10.282
angles: 18.61 18.61 18.61
Sites, in units of the cell vectors:
Tb 0.098 0.098 0.098
Tb 0.902 0.902 0.902
Be 0.000 0.000 0.000
Os 0.500 0.500 0.500

=====

[11]
Compound: TbBe4Os
Source: Alexandria
Functional: PBE
Structure: relaxed

Calculated values
* magnetic moment: 0.0 μB/cell
* symmetry: F-43m (216)
* crystal system: cubic
* ΔE_f: -0.107 eV/atom
* Fermi-level density of states: 0.883 states/eV per atom

abc: 4.689 4.689 4.689
angles: 60.00 60.00 60.00
Sites, in units of the cell vectors:
Tb 0.000 0.000 0.000
Be 0.136 0.621 0.621
Be 0.621 0.136 0.621
Be 0.621 0.621 0.136
Be 0.621 0.621 0.621
Os 0.250 0.250 0.250

=====

[12]
Compound: TbTmBeOs
Source: Alexandria
Functional: PBE
Structure: relaxed

Calculated values
* magnetic moment: 0.0 μB/cell
* symmetry: F-43m (216)
* crystal system: cubic
* ΔE_f: -0.089 eV/atom
* Fermi-level density of states: 0.817 states/eV per atom

abc: 4.805 4.805 4.805
angles: 60.00 60.00 60.00
Sites, in units of the cell vectors:
Tb 0.000 0.000 0.000
Tm 0.500 0.500 0.500
Be 0.250 0.250 0.250
Os 0.750 0.750 0.750

=====

[13]
Compound: Be2TcOs
Source: Alexandria
Functional: PBE
Structure: relaxed

Calculated values
* magnetic moment: 0.0 μB/cell
* symmetry: C2/m (12)
* offset from the most stable computed form: 0.264 eV per atom
* crystal system: monoclinic
* ΔE_f: 0.092 eV/atom
* Fermi-level density of states: 0.731 states/eV per atom

abc: 4.564 4.564 2.616
angles: 101.71 101.71 110.79
Sites, in units of the cell vectors:
Be 0.000 0.500 0.000
Be 0.500 0.000 0.000
Tc 0.000 0.000 0.500
Os 0.500 0.500 0.500

=====

[14]
Compound: Be2TcOs
Source: Alexandria
Functional: PBE
Structure: relaxed

Calculated values
* magnetic moment: 0.0 μB/cell
* symmetry: I-42d (122)
* offset from the most stable computed form: 0.556 eV per atom
* crystal system: tetragonal
* ΔE_f: 0.384 eV/atom
* Fermi-level density of states: 0.738 states/eV per atom

abc: 5.019 5.019 5.019
angles: 105.11 105.11 118.60
Sites, in units of the cell vectors:
Be 0.122 0.125 0.497
Be 0.375 0.878 0.003
Be 0.628 0.625 0.503
Be 0.875 0.372 0.997
Tc 0.250 0.750 0.500
Tc 0.500 0.500 0.000
Os 0.000 0.000 0.000
Os 0.750 0.250 0.500

=====

[15]
Compound: BeTc3Os
Source: Alexandria
Functional: PBE
Structure: relaxed

Calculated values
* magnetic moment: 1.6 μB/cell
* symmetry: Pm-3m (221)
* offset from the most stable computed form: 1.427 eV per atom
* crystal system: cubic
* ΔE_f: 2.014 eV/atom
* Fermi-level density of states: 1.336 states/eV per atom

abc: 4.675 4.675 4.675
angles: 90.00 90.00 90.00
Sites, in units of the cell vectors:
Be 0.000 0.000 0.000
Tc 0.000 0.500 0.500
Tc 0.500 0.000 0.500
Tc 0.500 0.500 0.000
Os 0.500 0.500 0.500

=====

[16]
Compound: Be3TcOs
Source: Alexandria
Functional: PBE
Structure: relaxed

Calculated values
* magnetic moment: 2.4 μB/cell
* symmetry: Pm-3m (221)
* offset from the most stable computed form: 0.000 eV per atom
* crystal system: cubic
* ΔE_f: 0.933 eV/atom
* Fermi-level density of states: 0.577 states/eV per atom

abc: 4.098 4.098 4.098
angles: 90.00 90.00 90.00
Sites, in units of the cell vectors:
Be 0.000 0.000 0.500
Be 0.000 0.500 0.000
Be 0.500 0.000 0.000
Tc 0.500 0.500 0.500
Os 0.000 0.000 0.000

=====

[17]
Compound: Be2TcOs
Source: Alexandria
Functional: PBE
Structure: relaxed

Calculated values
* magnetic moment: 0.0 μB/cell
* symmetry: P2/m (10)
* offset from the most stable computed form: 0.252 eV per atom
* crystal system: monoclinic
* ΔE_f: 0.080 eV/atom
* Fermi-level density of states: 0.661 states/eV per atom

abc: 2.621 3.737 4.914
angles: 90.00 99.04 90.00
Sites, in units of the cell vectors:
Be 0.218 0.000 0.250
Be 0.782 0.000 0.750
Tc 0.500 0.500 0.000
Os 0.000 0.500 0.500

=====

[18]
Compound: Be2TcOs
Source: Alexandria
Functional: PBE
Structure: relaxed

Calculated values
* magnetic moment: 0.0 μB/cell
* symmetry: R3m (160)
* offset from the most stable computed form: 0.392 eV per atom
* crystal system: trigonal
* ΔE_f: 0.220 eV/atom
* Fermi-level density of states: 0.743 states/eV per atom

abc: 8.156 8.156 8.156
angles: 18.94 18.94 18.94
Sites, in units of the cell vectors:
Be 0.000 0.000 0.000
Be 0.253 0.253 0.253
Tc 0.749 0.749 0.749
Os 0.506 0.506 0.506

=====

[19]
Compound: Be17TcOs
Source: Alexandria
Functional: PBE
Structure: relaxed

Calculated values
* magnetic moment: 0.0 μB/cell
* symmetry: R3m (160)
* crystal system: trigonal
* ΔE_f: -0.163 eV/atom
* Fermi-level density of states: 0.391 states/eV per atom

abc: 5.450 5.450 5.450
angles: 83.00 83.00 83.00
Sites, in units of the cell vectors:
Be 0.049 0.049 0.049
Be 0.151 0.457 0.850
Be 0.151 0.850 0.457
Be 0.155 0.155 0.651
Be 0.155 0.651 0.155
Be 0.256 0.256 0.256
Be 0.309 0.802 0.802
Be 0.457 0.151 0.850
Be 0.457 0.850 0.151
Be 0.505 0.505 0.990
Be 0.505 0.990 0.505
Be 0.651 0.155 0.155
Be 0.802 0.309 0.802
Be 0.802 0.802 0.309
Be 0.850 0.151 0.457
Be 0.850 0.457 0.151
Be 0.990 0.505 0.505
Tc 0.493 0.493 0.493
Os 0.815 0.815 0.815

=====

[20]
Compound: Be2TcOs
Source: Alexandria
Functional: PBE
Structure: relaxed

Calculated values
* magnetic moment: 0.0 μB/cell
* symmetry: P4mm (99)
* offset from the most stable computed form: 0.005 eV per atom
* crystal system: tetragonal
* ΔE_f: -0.167 eV/atom
* Fermi-level density of states: 0.705 states/eV per atom

abc: 2.782 2.782 5.861
angles: 90.00 90.00 90.00
Sites, in units of the cell vectors:
Be 0.000 0.000 0.000
Be 0.500 0.500 0.182
Tc 0.500 0.500 0.731
Os 0.000 0.000 0.432

=====

[21]
Compound: Be2TcOs
Source: Alexandria
Functional: PBE
Structure: relaxed

Calculated values
* magnetic moment: 0.0 μB/cell
* symmetry: R-3m (166)
* offset from the most stable computed form: 0.267 eV per atom
* crystal system: trigonal
* ΔE_f: 0.095 eV/atom
* Fermi-level density of states: 0.758 states/eV per atom

abc: 7.867 7.867 7.867
angles: 19.65 19.65 19.65
Sites, in units of the cell vectors:
Be 0.248 0.248 0.248
Be 0.752 0.752 0.752
Tc 0.000 0.000 0.000
Os 0.500 0.500 0.500

=====

[22]
Compound: Be2TcOs
Source: Alexandria
Functional: PBE
Structure: relaxed

Calculated values
* magnetic moment: 0.0 μB/cell
* symmetry: I-4m2 (119)
* offset from the most stable computed form: 0.125 eV per atom
* crystal system: tetragonal
* ΔE_f: -0.047 eV/atom
* Fermi-level density of states: 0.462 states/eV per atom

abc: 4.088 4.088 4.088
angles: 120.78 120.78 88.65
Sites, in units of the cell vectors:
Be 0.000 0.000 0.000
Be 0.750 0.250 0.500
Tc 0.250 0.750 0.500
Os 0.500 0.500 0.000

=====

[23]
Compound: Be2TcOs
Source: Alexandria
Functional: PBE
Structure: relaxed

Calculated values
* magnetic moment: 0.0 μB/cell
* symmetry: Cm (8)
* offset from the most stable computed form: 0.064 eV per atom
* crystal system: monoclinic
* ΔE_f: -0.108 eV/atom
* Fermi-level density of states: 0.564 states/eV per atom

abc: 4.681 4.681 3.938
angles: 114.83 114.83 35.77
Sites, in units of the cell vectors:
Be 0.000 0.000 0.000
Be 0.718 0.718 0.220
Tc 0.474 0.474 0.474
Os 0.247 0.247 0.749

=====

[24]
Compound: Be3TcOs
Source: Alexandria
Functional: PBE
Structure: relaxed

Calculated values
* magnetic moment: 0.1 μB/cell
* symmetry: Pm-3m (221)
* offset from the most stable computed form: 0.331 eV per atom
* crystal system: cubic
* ΔE_f: 1.264 eV/atom
* Fermi-level density of states: 0.759 states/eV per atom

abc: 3.986 3.986 3.986
angles: 90.00 90.00 90.00
Sites, in units of the cell vectors:
Be 0.000 0.000 0.500
Be 0.000 0.500 0.000
Be 0.500 0.000 0.000
Tc 0.000 0.000 0.000
Os 0.500 0.500 0.500

=====

[25]
Compound: Be2TcOs
Source: Alexandria
Functional: PBE
Structure: relaxed

Calculated values
* magnetic moment: 0.0 μB/cell
* symmetry: Immm (71)
* offset from the most stable computed form: 0.265 eV per atom
* crystal system: orthorhombic
* ΔE_f: 0.093 eV/atom
* Fermi-level density of states: 0.729 states/eV per atom

abc: 4.578 4.578 4.578
angles: 142.45 124.09 69.32
Sites, in units of the cell vectors:
Be 0.248 0.248 0.000
Be 0.752 0.752 0.000
Tc 0.500 0.000 0.500
Os 0.000 0.500 0.500

=====

[26]
Compound: Be2TcOs
Source: Alexandria
Functional: PBE
Structure: relaxed

Calculated values
* magnetic moment: 0.0 μB/cell
* symmetry: Cmm2 (35)
* offset from the most stable computed form: 0.477 eV per atom
* crystal system: orthorhombic
* ΔE_f: 0.305 eV/atom
* Fermi-level density of states: 0.610 states/eV per atom

abc: 2.630 2.630 7.877
angles: 90.00 90.00 115.31
Sites, in units of the cell vectors:
Be 0.000 0.000 0.000
Be 0.500 0.500 0.223
Tc 0.000 0.000 0.470
Os 0.500 0.500 0.759

=====

[27]
Compound: Be2TcOs
Source: Alexandria
Functional: PBE
Structure: relaxed

Calculated values
* magnetic moment: 0.0 μB/cell
* symmetry: Pmmm (47)
* offset from the most stable computed form: 0.256 eV per atom
* crystal system: orthorhombic
* ΔE_f: 0.084 eV/atom
* Fermi-level density of states: 0.502 states/eV per atom

abc: 2.969 3.720 4.294
angles: 90.00 90.00 90.00
Sites, in units of the cell vectors:
Be 0.000 0.000 0.000
Be 0.500 0.000 0.500
Tc 0.000 0.500 0.500
Os 0.500 0.500 0.000